Record 1
The following is a DFT calculation (PBE) of crystalline K2Au2Cl at its relaxed geometry.

Calculated values
DOS at the Fermi energy: 5.62 states/eV/cell
polymorph energy (0 for the lowest one): 1.13 kcal/mol of atoms
space-group type: P4/mbm (127)
mass density: 5296 kg/m3
E_tot: -2.588 eV per atom

Cell: 8.5881 8.5881 4.3153 Å, 90.00 90.00 90.00°
Element x y z (fractional)
K  0.3113  0.1887  0.5000
Cl  0.5000  0.5000  0.0000
K  0.1887  0.6887  0.5000
Cl  0.0000  0.0000  0.0000
K  0.8113  0.3113  0.5000
Au  0.1097  0.3903  0.0000
Au  0.8903  0.6097  0.0000
Au  0.6097  0.1097  0.0000
Au  0.3903  0.8903  0.0000
K  0.6887  0.8113  0.5000

=====

Record 2
The following is a DFT calculation (PBE) of crystalline PrNdDy2Er2 at its relaxed geometry.

Calculated values
DOS at the Fermi energy: 19.11 states/eV/cell
formation energy from the elements: 0.279 eV/atom
space-group type: Pnnm (58)
mass density: 7806 kg/m3
E_tot: -4.367 eV per atom

Cell: 3.4113 6.5815 17.9019 Å, 90.00 90.00 90.00°
Element x y z (fractional)
Dy  0.5000  0.7247  0.6864
Er  0.5000  0.7769  0.3500
Er  0.5000  0.2231  0.6500
Er  0.0000  0.2769  0.1500
Dy  0.0000  0.2247  0.8136
Nd  0.5000  0.5000  0.0000
Dy  0.5000  0.2753  0.3136
Nd  0.0000  0.0000  0.5000
Dy  0.0000  0.7753  0.1864
Pr  0.5000  0.5000  0.5000
Er  0.0000  0.7231  0.8500
Pr  0.0000  0.0000  0.0000

=====

Record 3
The following is a DFT calculation (PBE) of crystalline Sr2BeCd at its relaxed geometry.

Calculated values
DOS at the Fermi energy: 3.20 states/eV/cell
formation energy from the elements: 0.292 eV/atom
polymorph energy (0 for the lowest one): 5.07 kcal/mol of atoms
space-group type: R-3m (166)
mass density: 3443 kg/m3
E_tot: -1.709 eV per atom

Cell: 4.4669 4.4669 8.6725 Å, 75.04 75.04 60.01°
Element x y z (fractional)
Be  0.7500  0.7500  0.7500
Cd  0.2500  0.2500  0.2500
Sr  0.4886  0.4886  0.5338
Sr  0.0114  0.0114  0.9662

=====

Record 4
The following is a DFT calculation (PBE) of crystalline Al2CuBi at its relaxed geometry.

Calculated values
DOS at the Fermi energy: 0.19 states/eV/cell
formation energy from the elements: 0.147 eV/atom
polymorph energy (0 for the lowest one): 0.00 kcal/mol of atoms
space-group type: I-42d (122)
mass density: 5979 kg/m3
E_tot: -3.718 eV per atom

Cell: 4.7385 4.7385 8.7442 Å, 74.28 74.28 90.00°
Element x y z (fractional)
Cu  0.5000  0.5000  0.0000
Al  0.5161  0.1250  0.2500
Bi  0.7500  0.2500  0.5000
Cu  0.2500  0.7500  0.5000
Bi  0.0000  0.0000  0.0000
Al  0.3750  0.4839  0.7500
Al  0.2339  0.6250  0.2500
Al  0.8750  0.7661  0.7500

=====

Record 5
The following is a DFT calculation (PBE) of crystalline In4AgBiO8 at its relaxed geometry.

Calculated values
space-group type: R3m (160)
mass density: 7041 kg/m3
E_tot: -5.347 eV per atom

Cell: 6.6511 6.6511 6.7618 Å, 60.54 60.54 60.00°
Element x y z (fractional)
O  0.7458  0.2304  0.2780
In  0.0035  0.0035  0.4950
O  0.7584  0.7584  0.7249
Ag  0.3691  0.3691  0.8927
O  0.2416  0.2416  0.7188
In  0.0035  0.4980  0.4950
O  0.2304  0.7458  0.2780
In  0.6232  0.6232  0.1304
O  0.7980  0.2416  0.7188
O  0.2336  0.2336  0.2992
In  0.4980  0.0035  0.4950
O  0.2416  0.7980  0.7188
O  0.7458  0.7458  0.2780
Bi  0.0076  0.0076  0.9773

=====

Record 6
The following is a DFT calculation (PBE) of crystalline GaSi2N at its relaxed geometry.

Calculated values
DOS at the Fermi energy: 2.66 states/eV/cell
polymorph energy (0 for the lowest one): 26.27 kcal/mol of atoms
space-group type: Fm-3m (225)
mass density: 4309 kg/m3
E_tot: -4.343 eV per atom

Cell: 4.2404 4.2404 4.2404 Å, 60.00 60.00 60.00°
Element x y z (fractional)
Si  0.2500  0.2500  0.2500
Si  0.7500  0.7500  0.7500
N  0.0000  0.0000  0.0000
Ga  0.5000  0.5000  0.5000

=====

Record 7
The following is a DFT calculation (PBE) of crystalline LiAgSbBr6 at its relaxed geometry.

Calculated values
DOS at the Fermi energy: 9.32 states/eV/cell
space-group type: P-31c (163)
mass density: 4517 kg/m3
E_tot: -2.749 eV per atom

Cell: 6.8757 6.8757 12.8593 Å, 90.00 90.00 120.00°
Element x y z (fractional)
Br  0.6580  0.6556  0.6274
Br  0.0025  0.3444  0.1274
Ag  0.0000  0.0000  0.0000
Sb  0.6667  0.3333  0.7500
Br  0.3444  0.3420  0.8726
Br  0.0025  0.6580  0.3726
Br  0.6580  0.0025  0.8726
Ag  0.0000  0.0000  0.5000
Br  0.6556  0.6580  0.1274
Br  0.3420  0.9975  0.1274
Sb  0.3333  0.6667  0.2500
Br  0.9975  0.6556  0.8726
Li  0.6667  0.3333  0.2500
Br  0.3420  0.3444  0.3726
Br  0.3444  0.0025  0.6274
Li  0.3333  0.6667  0.7500
Br  0.9975  0.3420  0.6274
Br  0.6556  0.9975  0.3726

=====

Record 8
The following is a DFT calculation (PBE) of crystalline SiSeN2O at its relaxed geometry.

Calculated values
DOS at the Fermi energy: 4.39 states/eV/cell
space-group type: P4/mmm (123)
mass density: 3528 kg/m3
E_tot: -5.459 eV per atom

Cell: 3.3275 3.3275 6.4210 Å, 90.00 90.00 90.00°
Element x y z (fractional)
Si  0.0000  0.0000  0.0000
O  0.5000  0.5000  0.5000
N  0.0000  0.5000  0.0000
Se  0.0000  0.0000  0.5000
N  0.5000  0.0000  0.0000

=====

Record 9
The following is a DFT calculation (PBE) of crystalline NbTl3Si at its relaxed geometry.

Calculated values
DOS at the Fermi energy: 5.71 states/eV/cell
polymorph energy (0 for the lowest one): 2.04 kcal/mol of atoms
space-group type: Pm-3m (221)
mass density: 8400 kg/m3
E_tot: -3.357 eV per atom

Cell: 5.2551 5.2551 5.2551 Å, 90.00 90.00 90.00°
Each line ends with the local moment (μB).
Element x y z (fractional)
Tl  0.0000  0.5000  0.0000  0.00
Tl  0.0000  0.0000  0.5000  0.03
Tl  0.5000  0.0000  0.0000  0.00
Si  0.0000  0.0000  0.0000  0.05
Nb  0.5000  0.5000  0.5000  2.76

=====

Record 10
The following is a DFT calculation (PBE) of crystalline La5Sm2Y2 at its relaxed geometry.

Calculated values
DOS at the Fermi energy: 16.68 states/eV/cell
formation energy from the elements: 0.021 eV/atom
polymorph energy (0 for the lowest one): 0.00 kcal/mol of atoms
space-group type: P-1 (2)
mass density: 6136 kg/m3
E_tot: -5.202 eV per atom

Cell: 6.4104 3.6854 16.7593 Å, 96.36 78.96 125.23°
Element x y z (fractional)
Sm  0.6659  0.9998  0.6685
La  0.7782  0.0003  0.4440
Y  0.8873  0.9998  0.2247
Sm  0.3341  0.0002  0.3315
La  0.4433  0.9997  0.1123
La  0.2218  0.9997  0.5560
Y  0.1127  0.0002  0.7753
La  0.0000  0.0000  0.0000
La  0.5567  0.0003  0.8877

=====

Record 11
The following is a DFT calculation (PBE) of crystalline Li2Se3 at its relaxed geometry.

Calculated values
DOS at the Fermi energy: 0.43 states/eV/cell
polymorph energy (0 for the lowest one): 0.00 kcal/mol of atoms
space-group type: P-3m1 (164)
mass density: 3813 kg/m3
E_tot: -3.422 eV per atom

Cell: 4.3331 4.3331 6.7159 Å, 90.00 90.00 120.00°
Element x y z (fractional)
Li  0.6667  0.3333  0.1195
Se  0.6667  0.3333  0.5505
Li  0.3333  0.6667  0.8805
Se  0.3333  0.6667  0.4495
Se  0.0000  0.0000  0.0000

=====

Record 12
The following is a DFT calculation (PBE) of crystalline LiNb3Tc at its relaxed geometry.

Calculated values
DOS at the Fermi energy: 2.91 states/eV/cell
formation energy from the elements: 1.009 eV/atom
polymorph energy (0 for the lowest one): 0.00 kcal/mol of atoms
space-group type: Pm-3m (221)
mass density: 5585 kg/m3
E_tot: -7.489 eV per atom

Cell: 4.8497 4.8497 4.8497 Å, 90.00 90.00 90.00°
Element x y z (fractional)
Nb  0.0000  0.0000  0.5000
Li  0.5000  0.5000  0.5000
Nb  0.5000  0.0000  0.0000
Tc  0.0000  0.0000  0.0000
Nb  0.0000  0.5000  0.0000